DFT (PBE) results for an optimized crystal structure of SrSn3P.

Output
**ΔE_f**: 0.024 eV per atom
**Distance to the lowest polymorph of the same formula**: 0 meV per atom
**Crystal system**: cubic

Structure (CIF):
```
data_SrSn3P
_chemical_formula_sum 'Sr1 Sn3 P1'
_symmetry_space_group_name_H-M 'P m -3 m'
_symmetry_Int_Tables_number 221
_symmetry_space_group_name_Hall '-P 4 2 3'
_cell_length_a 5.365
_cell_length_b 5.365
_cell_length_c 5.365
_cell_angle_alpha 90.00
_cell_angle_beta 90.00
_cell_angle_gamma 90.00
loop_
_atom_site_label
_atom_site_type_symbol
_atom_site_fract_x
_atom_site_fract_y
_atom_site_fract_z
_atom_site_occupancy
Sr1 Sr 0.000 0.000 0.000 1
Sn1 Sn 0.000 0.500 0.500 1
P1 P 0.500 0.500 0.500 1
```